(a)
Below is a relaxed Sc6AlGa crystal, with properties calculated at the PBE level.

Summary:
total magnetic moment: 0.9 μB/f.u.

a b c (Å): 5.5574 5.5604 5.5619
angles (deg): 90.00 90.05 90.00
Space group P2/m (No. 10)
Inequivalent atoms, fractional coordinates:
Sc1 0.9995 0.0000 0.2488 (multiplicity 2)
Sc2 0.2488 0.5000 0.4987 (multiplicity 2)
Sc3 0.5000 0.2512 0.0000 (multiplicity 2)
Al1 0.5000 0.0000 0.5000 (multiplicity 1)
Ga1 0.0000 0.5000 0.0000 (multiplicity 1)

=====

(b)
Below is a relaxed Sc6AlGa crystal, with properties calculated at the PBE level.

Summary:
total magnetic moment: 2.2 μB/f.u.

a b c (Å): 4.4042 4.4042 8.8161
angles (deg): 90.00 90.00 90.00
Space group P4/mmm (No. 123)
Inequivalent atoms, fractional coordinates:
Sc1 0.0000 0.0000 0.0000 (multiplicity 1)
Sc2 0.0000 0.0000 0.5000 (multiplicity 1)
Sc3 0.0000 0.5000 0.2483 (multiplicity 4)
Al1 0.5000 0.5000 0.5000 (multiplicity 1)
Ga1 0.5000 0.5000 0.0000 (multiplicity 1)

=====

Which structure wins on stability? (b) wins.

=====

(a)
Below is a relaxed Sc2AlGa4 crystal, with properties calculated at the PBE level.

Summary:
total magnetic moment: 0.0 μB/f.u.

a b c (Å): 7.8602 8.2985 4.0633
angles (deg): 90.00 90.00 90.00
Space group Cmmm (No. 65)
Inequivalent atoms, fractional coordinates:
Sc1 0.2392 0.0000 0.0000 (multiplicity 4)
Al1 0.0000 0.5000 0.5000 (multiplicity 2)
Ga1 0.0000 0.2505 0.0000 (multiplicity 4)
Ga2 0.2500 0.2500 0.5000 (multiplicity 4)

=====

(b)
Below is a relaxed Sc2AlGa4 crystal, with properties calculated at the PBE level.

Summary:
total magnetic moment: 0.0 μB/f.u.

a b c (Å): 4.7987 4.7987 13.8085
angles (deg): 90.00 90.00 90.00
Space group I4/mmm (No. 139)
Inequivalent atoms, fractional coordinates:
Sc1 0.0000 0.0000 0.1182 (multiplicity 4)
Al1 0.0000 0.0000 0.5000 (multiplicity 2)
Ga1 0.0000 0.0000 0.3169 (multiplicity 4)
Ga2 0.0000 0.5000 0.0000 (multiplicity 4)

=====

Which structure wins on stability? (a) wins.

=====

(a)
Below is a relaxed ScAl3Ga crystal, with properties calculated at the PBE level.

Summary:
total magnetic moment: 0.0 μB/f.u.

a b c (Å): 4.8109 4.8109 4.8109
angles (deg): 90.00 90.00 90.00
Space group Pm-3m (No. 221)
Inequivalent atoms, fractional coordinates:
Sc1 0.0000 0.0000 0.0000 (multiplicity 1)
Al1 0.0000 0.5000 0.5000 (multiplicity 3)
Ga1 0.5000 0.5000 0.5000 (multiplicity 1)

=====

(b)
Below is a relaxed ScAl3Ga crystal, with properties calculated at the PBE level.

Summary:
total magnetic moment: 0.0 μB/f.u.

a b c (Å): 5.3064 5.3064 5.3064
angles (deg): 90.00 90.00 90.00
Space group Pm-3m (No. 221)
Inequivalent atoms, fractional coordinates:
Sc1 0.0000 0.0000 0.0000 (multiplicity 1)
Al1 0.0000 0.0000 0.5000 (multiplicity 3)
Ga1 0.5000 0.5000 0.5000 (multiplicity 1)

=====

Which structure wins on stability? (a) wins.

=====

(a)
Below is a relaxed Sc8Al2Ga crystal, with properties calculated at the PBE level.

Summary:
total magnetic moment: 0.4 μB/f.u.

a b c (Å): 8.0791 13.5199 5.0448
angles (deg): 90.00 115.80 90.00
Space group C2/m (No. 12)
Inequivalent atoms, fractional coordinates:
Sc1 0.0000 0.2101 0.0000 (multiplicity 4)
Sc2 0.1077 0.5000 0.7981 (multiplicity 4)
Sc3 0.2150 0.1181 0.6289 (multiplicity 8)
Al1 0.0000 0.3041 0.5000 (multiplicity 4)
Ga1 0.0000 0.0000 0.0000 (multiplicity 2)

=====

(b)
Below is a relaxed Sc8Al2Ga crystal, with properties calculated at the PBE level.

Summary:
total magnetic moment: 1.5 μB/f.u.

a b c (Å): 4.6696 7.6222 13.5247
angles (deg): 90.00 90.00 90.00
Space group Immm (No. 71)
Inequivalent atoms, fractional coordinates:
Sc1 0.0000 0.0000 0.1436 (multiplicity 4)
Sc2 0.0000 0.2164 0.3427 (multiplicity 8)
Sc3 0.0000 0.3095 0.0000 (multiplicity 4)
Al1 0.0000 0.5000 0.1934 (multiplicity 4)
Ga1 0.0000 0.5000 0.5000 (multiplicity 2)

=====

Which structure wins on stability? (b) wins.

=====

(a)
Below is a relaxed Sc2Al4Ga crystal, with properties calculated at the PBE level.

Summary:
total magnetic moment: 0.0 μB/f.u.

a b c (Å): 4.5408 4.5408 21.9419
angles (deg): 90.00 90.00 120.00
Space group R-3m (No. 166, hexagonal axes)
Inequivalent atoms, fractional coordinates:
Sc1 0.0000 0.0000 0.0689 (multiplicity 6)
Al1 0.0000 0.0000 0.1986 (multiplicity 6)
Al2 0.0000 0.0000 0.3280 (multiplicity 6)
Ga1 0.0000 0.0000 0.5000 (multiplicity 3)

=====

(b)
Below is a relaxed Sc2Al4Ga crystal, with properties calculated at the PBE level.

Summary:
total magnetic moment: 0.0 μB/f.u.

a b c (Å): 4.8030 4.8030 14.0647
angles (deg): 90.00 90.00 90.00
Space group I4/mmm (No. 139)
Inequivalent atoms, fractional coordinates:
Sc1 0.0000 0.0000 0.1237 (multiplicity 4)
Al1 0.0000 0.0000 0.3242 (multiplicity 4)
Al2 0.0000 0.5000 0.0000 (multiplicity 4)
Ga1 0.0000 0.0000 0.5000 (multiplicity 2)

=====

Which structure wins on stability? (a) wins.

=====

(a)
Below is a relaxed ZrScAlGa crystal, with properties calculated at the PBE level.

Summary:
total magnetic moment: 0.0 μB/f.u.

a b c (Å): 6.7555 6.7555 6.7555
angles (deg): 90.00 90.00 90.00
Space group F-43m (No. 216)
Inequivalent atoms, fractional coordinates:
Zr1 0.0000 0.0000 0.0000 (multiplicity 4)
Sc1 0.0000 0.0000 0.5000 (multiplicity 4)
Al1 0.2500 0.2500 0.2500 (multiplicity 4)
Ga1 0.2500 0.2500 0.7500 (multiplicity 4)

=====

(b)
Below is a relaxed ZrScAlGa crystal, with properties calculated at the PBE level.

Summary:
total magnetic moment: 0.0 μB/f.u.

a b c (Å): 5.0687 3.1010 5.0910
angles (deg): 90.00 107.61 90.00
Space group Pm (No. 6)
Inequivalent atoms, fractional coordinates:
Zr1 0.0000 0.0000 0.0000 (multiplicity 1)
Sc1 0.4983 0.0000 0.5018 (multiplicity 1)
Al1 0.5009 0.5000 0.0027 (multiplicity 1)
Ga1 0.9974 0.5000 0.4992 (multiplicity 1)

=====

Which structure wins on stability? (b) wins.

=====

(a)
Below is a relaxed AlGa2Si crystal, with properties calculated at the PBE level.

Summary:
total magnetic moment: 0.0 μB/f.u.

a b c (Å): 6.5236 6.5236 6.5236
angles (deg): 90.00 90.00 90.00
Space group Fm-3m (No. 225)
Inequivalent atoms, fractional coordinates:
Al1 0.0000 0.0000 0.0000 (multiplicity 4)
Ga1 0.2500 0.2500 0.2500 (multiplicity 8)
Si1 0.0000 0.0000 0.5000 (multiplicity 4)

=====

(b)
Below is a relaxed AlGa2Si crystal, with properties calculated at the PBE level.

Summary:
total magnetic moment: 0.0 μB/f.u.

a b c (Å): 4.0380 4.0380 16.1463
angles (deg): 90.00 90.00 120.00
Space group R3m (No. 160, hexagonal axes)
Inequivalent atoms, fractional coordinates:
Al1 0.0000 0.0000 0.0000 (multiplicity 3)
Ga1 0.0000 0.0000 0.2459 (multiplicity 3)
Ga2 0.0000 0.0000 0.4231 (multiplicity 3)
Si1 0.0000 0.0000 0.8370 (multiplicity 3)

=====

Which structure wins on stability? (b) wins.

=====

(a)
Below is a relaxed AlGa2Si crystal, with properties calculated at the PBE level.

Summary:
total magnetic moment: 0.0 μB/f.u.

a b c (Å): 4.0133 4.0133 4.2368
angles (deg): 90.00 90.00 90.00
Space group P4/mmm (No. 123)
Inequivalent atoms, fractional coordinates:
Al1 0.0000 0.0000 0.0000 (multiplicity 1)
Ga1 0.0000 0.5000 0.5000 (multiplicity 2)
Si1 0.5000 0.5000 0.0000 (multiplicity 1)

=====

(b)
Below is a relaxed AlGa2Si crystal, with properties calculated at the PBE level.

Summary:
total magnetic moment: 0.0 μB/f.u.

a b c (Å): 6.1198 6.1198 10.1867
angles (deg): 90.00 90.00 90.00
Space group I-42d (No. 122)
Inequivalent atoms, fractional coordinates:
Al1 0.0000 0.0000 0.0000 (multiplicity 4)
Ga1 0.2250 0.2500 0.6250 (multiplicity 8)
Si1 0.0000 0.0000 0.5000 (multiplicity 4)

=====

(c)
Below is a relaxed AlGa2Si crystal, with properties calculated at the PBE level.

Summary:
total magnetic moment: 0.0 μB/f.u.

a b c (Å): 2.8666 2.8666 29.9777
angles (deg): 90.00 90.00 120.00
Space group R-3m (No. 166, hexagonal axes)
Inequivalent atoms, fractional coordinates:
Al1 0.0000 0.0000 0.0000 (multiplicity 3)
Ga1 0.0000 0.0000 0.0906 (multiplicity 6)
Si1 0.0000 0.0000 0.5000 (multiplicity 3)

=====

Which structure wins on stability? (a) wins.